(1)
Compound: HfPaN
Source: the Alexandria database
Functional: GGA-PBE
Structure: relaxed

DOS(E_F) ... 4.5 states/eV per cell
Crystal system ... tetragonal
Raw total energy ... -9.835 eV per atom

Structure (POSCAR):
```
HfPaN
1.0
3.0556 0.0000 0.0000
0.0000 3.0556 0.0000
-1.5278 -1.5278 6.5040
Hf Pa N
1 1 1
direct
0.2727 0.2727 0.5455
0.9667 0.9667 0.9335
0.7605 0.7605 0.5211
```

---

(2)
Compound: HfGaSe2Br
Source: the Alexandria database
Functional: GGA-PBE
Structure: relaxed

DOS(E_F) ... 0.7 states/eV per cell
Crystal system ... tetragonal
Raw total energy ... -5.047 eV per atom

Structure (POSCAR):
```
HfGaSe2Br
1.0
-1.9272 -0.9588 -4.7335
0.0899 -5.1027 0.9970
-4.9545 0.2952 1.9574
Hf Ga Se Br
1 1 2 1
direct
0.0000 0.0000 0.0000
0.5000 0.5000 0.5000
0.0000 0.5000 0.0000
0.5000 0.0000 0.0000
0.0000 0.0000 0.5000
```

---

no.,spin magnetization (μB/cell)
1,0.00
2,0.00